No. 1
! TbBe4Pt4, optimized geometry, DFT PBE-GGA; values from VASP
&SYSTEM
  ibrav = 0, nat = 18, ntyp = 3
/
ATOMIC_SPECIES
Be 9.01 Be.upf
Tb 158.93 Tb.upf
Pt 195.08 Pt.upf
ATOMIC_POSITIONS crystal
Be 0.5986 0.8413 0.3097
Be 0.9014 0.3413 0.8097
Be 0.0986 0.1903 0.3413
Be 0.5986 0.1587 0.6903
Be 0.0986 0.8097 0.6587
Be 0.4014 0.6903 0.8413
Be 0.4014 0.3097 0.1587
Be 0.9014 0.6587 0.1903
Tb 0.0000 0.0000 0.0000
Tb 0.5000 0.5000 0.5000
Pt 0.6028 0.8657 0.6337
Pt 0.8972 0.6343 0.8663
Pt 0.6028 0.1343 0.3663
Pt 0.3972 0.3663 0.8657
Pt 0.3972 0.6337 0.1343
Pt 0.8972 0.3657 0.1337
Pt 0.1028 0.1337 0.6343
Pt 0.1028 0.8663 0.3657
CELL_PARAMETERS angstrom
-3.3465 -1.3069 2.6812
4.8015 -4.6819 3.7107
1.7185 5.6418 4.8949
! Calculated density in g cm⁻³: 12.30
! VASP energy in eV for the cell shown: -100.68
! Density of states at the Fermi level in states/eV/cell: 5.9

***

No. 2
! Tb3Be2Pt4, optimized geometry, DFT PBE-GGA; values from VASP
&SYSTEM
  ibrav = 0, nat = 9, ntyp = 3
/
ATOMIC_SPECIES
Pt 195.08 Pt.upf
Be 9.01 Be.upf
Tb 158.93 Tb.upf
ATOMIC_POSITIONS crystal
Pt 0.7096 0.4192 0.0832
Pt 0.0638 0.1276 0.3784
Pt 0.9362 0.8724 0.6216
Pt 0.2904 0.5808 0.9168
Be 0.6139 0.2279 0.2828
Be 0.3861 0.7721 0.7172
Tb 0.0000 0.0000 0.0000
Tb 0.3342 0.6684 0.3326
Tb 0.6658 0.3316 0.6674
CELL_PARAMETERS angstrom
4.0400 0.0000 0.0000
-2.0200 5.1961 -1.2955
0.0000 -0.7394 8.4109
! Calculated density in g cm⁻³: 12.26
! VASP energy in eV for the cell shown: -54.48
! Density of states at the Fermi level in states/eV/cell: 5.2